No. 1
! meta-GGA SCAN CdRu2Br, single point on PBEsol structure; values from VASP
! **Energy relative to the lowest polymorph listed for this composition**: 280 meV per atom
! **V**: 15.8 Å³ per atom
&SYSTEM
  ibrav = 0, nat = 4, ntyp = 3
/
ATOMIC_SPECIES
Cd 112.41 Cd.upf
Ru 101.07 Ru.upf
Br 79.90 Br.upf
CELL_PARAMETERS angstrom
3.086 0.000 0.000
0.000 4.524 0.000
0.000 0.000 4.524
ATOMIC_POSITIONS angstrom
Cd 1.543 0.000 0.000
Ru 0.000 0.000 2.262
Ru 0.000 2.262 0.000
Br 1.543 2.262 2.262



No. 2
! meta-GGA SCAN SiSbRh2, single point on PBEsol structure; values from VASP
! **Energy relative to the lowest polymorph listed for this composition**: 0 meV per atom
! **V**: 15.1 Å³ per atom
&SYSTEM
  ibrav = 0, nat = 4, ntyp = 3
/
ATOMIC_SPECIES
Sb 121.76 Sb.upf
Si 28.09 Si.upf
Rh 102.91 Rh.upf
CELL_PARAMETERS angstrom
4.401 0.000 0.000
2.200 3.811 0.000
2.200 1.270 3.593
ATOMIC_POSITIONS angstrom
Sb 4.401 2.541 1.797
Si 0.000 0.000 0.000
Rh 6.601 3.811 2.695
Rh 2.200 1.270 0.898



No. 3
! meta-GGA SCAN Li8Ti7Nb6O30, single point on PBEsol structure; values from VASP
! **Total energy**: -660.42 eV per formula unit
! **V**: 10.7 Å³ per atom
&SYSTEM
  ibrav = 0, nat = 51, ntyp = 4
/
ATOMIC_SPECIES
Li 6.94 Li.upf
O 16.00 O.upf
Nb 92.91 Nb.upf
Ti 47.87 Ti.upf
CELL_PARAMETERS angstrom
5.128 0.000 0.000
-2.564 4.441 0.000
0.000 0.000 24.044
ATOMIC_POSITIONS angstrom
Li 0.000 0.000 4.947
Li 0.000 2.961 15.092
Li 0.000 2.961 1.952
Li 2.564 1.480 12.727
Li 0.000 0.000 11.314
Li 0.000 2.961 8.866
Li 0.000 2.961 22.129
Li 2.564 1.480 19.064
O 1.895 2.922 8.348
O 0.950 1.644 10.827
O 4.148 1.339 8.348
O 1.755 0.055 17.927
O 1.892 2.890 22.946
O -0.432 1.475 3.657
O 0.910 1.310 15.673
O -0.664 1.483 13.197
O 0.886 1.252 1.184
O 0.917 4.428 6.104
O 3.206 3.048 1.184
O 3.230 0.001 10.827
O 0.456 4.425 20.385
O 3.244 2.998 15.673
O 3.538 0.133 15.673
O -1.071 4.078 3.657
O 4.121 1.358 22.946
O 4.203 1.492 17.927
O 1.650 0.180 8.348
O -1.496 2.623 20.385
O 0.812 1.433 6.104
O 1.612 3.125 13.197
O 1.734 2.894 17.927
O -1.729 3.022 6.104
O 1.040 1.834 20.385
O 1.503 3.330 3.657
O 3.601 0.141 1.184
O 3.513 2.797 10.827
O -0.948 4.275 13.197
O 1.680 0.193 22.946
Nb 0.000 2.961 12.007
Nb 2.564 1.480 9.706
Nb 0.000 2.961 19.133
Nb 2.564 1.480 21.539
Nb 0.000 0.000 14.321
Nb 0.000 2.961 4.825
Ti 2.564 1.480 0.388
Ti 0.000 0.000 7.429
Ti 0.000 0.000 2.557
Ti 2.564 1.480 6.954
Ti 0.000 0.000 17.039
Ti 0.000 0.000 23.798
Ti 2.564 1.480 16.592



No. 4
! meta-GGA SCAN ZrTc2Br, single point on PBEsol structure; values from VASP
! **Energy relative to the lowest polymorph listed for this composition**: 417 meV per atom
! **V**: 16.3 Å³ per atom
&SYSTEM
  ibrav = 0, nat = 4, ntyp = 3
/
ATOMIC_SPECIES
Tc 98.00 Tc.upf
Zr 91.22 Zr.upf
Br 79.90 Br.upf
CELL_PARAMETERS angstrom
4.514 0.000 0.000
2.257 3.909 0.000
2.257 1.303 3.686
ATOMIC_POSITIONS angstrom
Tc 6.771 3.909 2.764
Tc 2.257 1.303 0.921
Zr 4.514 2.606 1.843
Br 0.000 0.000 0.000



Total moment readings, ordered: 0.00; 0.00; 2.06; 0.00 μB per formula unit